# 1
## BaTiPSe2 (GGA-PBE)

Data for BaTiPSe2 after structural relaxation.

POSCAR file:
```
BaTiPSe2
1.0
5.1242 0.0000 0.0000
0.0000 5.1242 0.0000
0.0000 0.0000 5.6305
Ba Ti P Se
1 1 1 2
direct
0.0000 0.0000 0.0000
0.5000 0.5000 0.0000
0.0000 0.0000 0.5000
0.0000 0.5000 0.5000
0.5000 0.0000 0.5000
```

Summary:
Uncorrected energy ... -0.14639 Ha/atom
Space group ... P4/mmm (123)

***

# 2
## ThU2Se6 (GGA-PBE)

Data for ThU2Se6 after structural relaxation.

POSCAR file:
```
ThU2Se6
1.0
7.0996 -2.6689 0.0000
7.0996 2.6689 0.0000
-5.5536 0.0000 7.5346
Th U Se
1 2 6
direct
0.0000 0.0000 0.0000
0.1797 0.1797 0.6029
0.8203 0.8203 0.3971
0.0414 0.0414 0.7261
0.2485 0.2485 0.3643
0.3704 0.3704 0.9480
0.6296 0.6296 0.0520
0.7515 0.7515 0.6357
0.9586 0.9586 0.2739
```

Summary:
Uncorrected energy ... -0.25263 Ha/atom
Space group ... C2/m (12)

***

# 3
## LaPr3Cu4 (GGA-PBE)

Data for LaPr3Cu4 after structural relaxation.

POSCAR file:
```
LaPr3Cu4
1.0
5.1491 0.0000 0.0000
0.0000 5.1491 0.0000
0.0000 0.0000 7.2155
La Pr Cu
1 3 4
direct
0.0000 0.0000 0.0000
0.0000 0.0000 0.5000
0.5000 0.5000 0.0000
0.5000 0.5000 0.5000
0.0000 0.5000 0.2531
0.0000 0.5000 0.7469
0.5000 0.0000 0.2531
0.5000 0.0000 0.7469
```

Summary:
Uncorrected energy ... -0.16823 Ha/atom
Space group ... P4/mmm (123)

***

# 4
## HoTm2Sc9 (GGA-PBE)

Data for HoTm2Sc9 after structural relaxation.

POSCAR file:
```
HoTm2Sc9
1.0
10.4688 0.0000 0.0000
-5.2344 9.0663 0.0000
0.0000 0.0000 3.2759
Ho Tm Sc
1 2 9
direct
0.0000 0.0000 0.0000
0.3333 0.6667 0.0000
0.6667 0.3333 0.0000
0.0000 0.5000 0.0000
0.1759 0.3517 0.5000
0.1759 0.8241 0.5000
0.3517 0.1759 0.5000
0.5000 0.0000 0.0000
0.5000 0.5000 0.0000
0.6483 0.8241 0.5000
0.8241 0.1759 0.5000
0.8241 0.6483 0.5000
```

Summary:
Uncorrected energy ... -0.21341 Ha/atom
Space group ... P6/mmm (191)

***

# 5
## Ti2NbRh6 (GGA-PBE)

Data for Ti2NbRh6 after structural relaxation.

POSCAR file:
```
Ti2NbRh6
1.0
6.5844 -2.9721 0.0000
6.5844 2.9721 0.0000
-1.2957 0.0000 3.9333
Ti Nb Rh
2 1 6
direct
0.1695 0.1695 0.1692
0.8305 0.8305 0.8308
0.5000 0.5000 0.5000
0.0788 0.5850 0.3321
0.2408 0.7592 0.0000
0.4150 0.9212 0.6679
0.5850 0.0788 0.3321
0.7592 0.2408 0.0000
0.9212 0.4150 0.6679
```

Summary:
Uncorrected energy ... -0.29493 Ha/atom
Space group ... C2/m (12)

***

# 6
## Sb2SBrCl (GGA-PBE)

Data for Sb2SBrCl after structural relaxation.

POSCAR file:
```
Sb2SBrCl
1.0
5.5956 0.0000 0.0000
0.0000 5.5956 0.0000
0.0000 0.0000 4.9903
Sb S Br Cl
2 1 1 1
direct
0.0000 0.5000 0.0000
0.5000 0.0000 0.0000
0.0000 0.0000 0.5000
0.5000 0.5000 0.0000
0.5000 0.5000 0.5000
```

Summary:
Uncorrected energy ... -0.08271 Ha/atom
Space group ... P4/mmm (123)